1.
EuCd2Hg: relaxed, PBE-GGA.

Energy above the most stable polymorph in this dataset = 0 meV per atom
Crystal system = tetragonal

CIF file:
```
data_EuCd2Hg
_space_group_name_H-M_alt 'P 4/m m m'
_space_group_IT_number 123
_space_group_name_Hall '-P 4 2'
_cell_length_a 4.6876
_cell_length_b 4.6876
_cell_length_c 4.9069
_cell_angle_alpha 90.00
_cell_angle_beta 90.00
_cell_angle_gamma 90.00
loop_
_atom_site_label
_atom_site_type_symbol
_atom_site_fract_x
_atom_site_fract_y
_atom_site_fract_z
Eu1 Eu 0.0000 0.0000 0.0000
Cd1 Cd 0.0000 0.5000 0.5000
Hg1 Hg 0.5000 0.5000 0.0000
```

***

2.
Ti4CoPb: relaxed, PBE-GGA.

Crystal system = monoclinic

CIF file:
```
data_Ti4CoPb
_space_group_name_H-M_alt 'C 1 2/c 1'
_space_group_IT_number 15
_cell_length_a 8.1690
_cell_length_b 12.1345
_cell_length_c 6.2426
_cell_angle_alpha 90.00
_cell_angle_beta 130.09
_cell_angle_gamma 90.00
loop_
_space_group_symop_operation_xyz
'x,y,z'
'-x,-y,-z'
'-x,y,-z+1/2'
'x,-y,z+1/2'
'x+1/2,y+1/2,z'
'-x+1/2,-y+1/2,-z'
'-x+1/2,y+1/2,-z+1/2'
'x+1/2,-y+1/2,z+1/2'
loop_
_atom_site_label
_atom_site_type_symbol
_atom_site_fract_x
_atom_site_fract_y
_atom_site_fract_z
Ti1 Ti 0.1822 0.2376 0.2403
Ti2 Ti 0.2178 0.0239 0.7188
Co1 Co 0.0000 0.0916 0.2500
Pb1 Pb 0.0000 0.3667 0.7500
```

***

3.
TiFeCo3: relaxed, PBE-GGA.

Energy above the most stable polymorph in this dataset = 1224 meV per atom
Crystal system = cubic

CIF file:
```
data_TiFeCo3
_space_group_name_H-M_alt 'P m -3 m'
_space_group_IT_number 221
_space_group_name_Hall '-P 4 2 3'
_cell_length_a 4.2043
_cell_length_b 4.2043
_cell_length_c 4.2043
_cell_angle_alpha 90.00
_cell_angle_beta 90.00
_cell_angle_gamma 90.00
loop_
_atom_site_label
_atom_site_type_symbol
_atom_site_fract_x
_atom_site_fract_y
_atom_site_fract_z
Ti1 Ti 0.0000 0.0000 0.0000
Fe1 Fe 0.5000 0.5000 0.5000
Co1 Co 0.0000 0.0000 0.5000
```

***

Total moment / Bohr magnetons per cell: 7.446; 3.359; 5.198
Calculated formation energy / meV/atom: -291; 180; 1134